A crystal of CuMo2As relaxed with PBEsol. Source: Alexandria, functional SCAN.

Structure (POSCAR):
```
CuMo2As
1.0
2.7643 0.0000 0.0000
0.0000 4.0061 0.0000
-1.2465 0.0000 5.1998
Cu Mo As
1 2 1
direct
0.0000 0.0000 0.0000 Cu
0.3003 0.5000 0.7542 Mo
0.6997 0.5000 0.2458 Mo
0.5000 0.0000 0.5000 As
```

The formation energy from the elements is 0.231 eV per atom. As for the space group: P2/m, No. 10.


A crystal of CuMo2As relaxed with PBEsol. Source: Alexandria, functional SCAN.

Structure (POSCAR):
```
CuMo2As
1.0
1.6103 -2.1905 0.0000
1.6103 2.1905 0.0000
0.0000 0.0000 8.4974
Cu Mo As
1 2 1
direct
0.0000 0.0000 0.0000 Cu
0.0000 0.0000 0.5096 Mo
0.5000 0.5000 0.7596 Mo
0.5000 0.5000 0.2557 As
```

The formation energy from the elements is 0.271 eV per atom. As for the space group: Cmm2, No. 35.


A crystal of Cu2MoAs relaxed with PBEsol. Source: Alexandria, functional SCAN.

Structure (POSCAR):
```
Cu2MoAs
1.0
-1.7799 1.7799 4.2837
1.7799 -1.7799 4.2837
1.7799 1.7799 -4.2837
Cu Mo As
2 1 1
direct
0.2500 0.7500 0.5000 Cu
0.7500 0.2500 0.5000 Cu
0.0000 0.0000 0.0000 Mo
0.5000 0.5000 0.0000 As
```

The formation energy from the elements is 0.294 eV per atom. As for the space group: I4/mmm, No. 139.


A crystal of CuMo3As relaxed with PBEsol. Source: Alexandria, functional SCAN.

Structure (POSCAR):
```
CuMo3As
1.0
4.5315 0.0000 0.0000
0.0000 4.5315 0.0000
0.0000 0.0000 4.5315
Cu Mo As
1 3 1
direct
0.0000 0.0000 0.0000 Cu
0.0000 0.5000 0.5000 Mo
0.5000 0.0000 0.5000 Mo
0.5000 0.5000 0.0000 Mo
0.5000 0.5000 0.5000 As
```

The formation energy from the elements is 1.467 eV per atom. As for the space group: Pm-3m, No. 221.


A crystal of CuAsSN2 relaxed with PBEsol. Source: Alexandria, functional SCAN.

Structure (POSCAR):
```
CuAsSN2
1.0
3.7212 0.0000 0.0000
0.0000 3.7212 0.0000
0.0000 0.0000 4.7031
Cu As S N
1 1 1 2
direct
0.0000 0.0000 0.0000 Cu
0.5000 0.5000 0.5000 As
0.0000 0.0000 0.5000 S
0.0000 0.5000 0.0000 N
0.5000 0.0000 0.0000 N
```

As for the space group: P4/mmm, No. 123.


A crystal of CuAsS2N relaxed with PBEsol. Source: Alexandria, functional SCAN.

Structure (POSCAR):
```
CuAsS2N
1.0
4.7475 0.0000 0.0000
0.0000 4.7475 0.0000
0.0000 0.0000 3.5281
Cu As S N
1 1 2 1
direct
0.0000 0.0000 0.0000 Cu
0.5000 0.5000 0.5000 As
0.0000 0.5000 0.5000 S
0.5000 0.0000 0.5000 S
0.5000 0.5000 0.0000 N
```

As for the space group: P4/mmm, No. 123.


A crystal of CuAsSeN2 relaxed with PBEsol. Source: Alexandria, functional SCAN.

Structure (POSCAR):
```
CuAsSeN2
1.0
3.5747 0.0000 0.0000
0.0000 3.5747 0.0000
0.0000 0.0000 5.7763
Cu As Se N
1 1 1 2
direct
0.0000 0.0000 0.0000 Cu
0.5000 0.5000 0.5000 As
0.5000 0.5000 0.0000 Se
0.0000 0.5000 0.5000 N
0.5000 0.0000 0.5000 N
```

As for the space group: P4/mmm, No. 123.


A crystal of Ta2CuAsN relaxed with PBEsol. Source: Alexandria, functional SCAN.

Structure (POSCAR):
```
Ta2CuAsN
1.0
4.0870 0.0000 0.0000
0.0000 4.0870 0.0000
0.0000 0.0000 4.4949
Ta Cu As N
2 1 1 1
direct
0.0000 0.5000 0.0000 Ta
0.5000 0.0000 0.0000 Ta
0.0000 0.0000 0.5000 Cu
0.5000 0.5000 0.5000 As
0.5000 0.5000 0.0000 N
```

As for the space group: P4/mmm, No. 123.


A crystal of NaCuAs2 relaxed with PBEsol. Source: Alexandria, functional SCAN.

Structure (POSCAR):
```
NaCuAs2
1.0
-2.2704 2.2704 8.0760
2.2704 -2.2704 8.0760
2.2704 2.2704 -8.0760
Na Cu As
2 2 4
direct
0.0000 0.0000 0.0000 Na
0.7500 0.2500 0.5000 Na
0.2500 0.7500 0.5000 Cu
0.5000 0.5000 0.0000 Cu
0.2305 0.6250 0.1055 As
0.3750 0.4805 0.6055 As
0.5195 0.1250 0.8945 As
0.8750 0.7695 0.3945 As
```

The formation energy from the elements is -0.073 eV per atom. As for the space group: I-42d, No. 122.


A crystal of NaCu4As3O12 relaxed with PBEsol. Source: Alexandria, functional SCAN.

Structure (POSCAR):
```
NaCu4As3O12
1.0
5.9498 -6.1952 0.0000
5.9498 6.1952 0.0000
-3.3674 0.0000 6.5009
Na Cu As O
2 8 6 24
direct
0.0038 0.9962 0.7500 Na
0.9962 0.0038 0.2500 Na
0.0642 0.3747 0.6386 Cu
0.2649 0.7351 0.2500 Cu
0.3747 0.0642 0.1386 Cu
0.4933 0.5067 0.7500 Cu
0.5067 0.4933 0.2500 Cu
0.6253 0.9358 0.8614 Cu
0.7351 0.2649 0.7500 Cu
0.9358 0.6253 0.3614 Cu
0.1057 0.3453 0.1196 As
0.2724 0.7276 0.7500 As
0.3453 0.1057 0.6196 As
0.6547 0.8943 0.3804 As
0.7276 0.2724 0.2500 As
0.8943 0.6547 0.8804 As
0.0221 0.4144 0.3108 O
0.0235 0.6863 0.1276 O
0.1562 0.7605 0.5326 O
0.1575 0.1664 0.6153 O
0.1664 0.1575 0.1153 O
0.2395 0.8438 0.9674 O
0.2729 0.5163 0.7370 O
0.2738 0.4958 0.1770 O
0.3137 0.9765 0.3724 O
0.4144 0.0221 0.8108 O
0.4837 0.7271 0.7630 O
0.4958 0.2738 0.6770 O
0.5042 0.7262 0.3230 O
0.5163 0.2729 0.2370 O
0.5856 0.9779 0.1892 O
0.6863 0.0235 0.6276 O
0.7262 0.5042 0.8230 O
0.7271 0.4837 0.2630 O
0.7605 0.1562 0.0326 O
0.8336 0.8425 0.8847 O
0.8425 0.8336 0.3847 O
0.8438 0.2395 0.4674 O
0.9765 0.3137 0.8724 O
0.9779 0.5856 0.6892 O
```

As for the space group: C2/c, No. 15.


A crystal of NaCuAsSe2 relaxed with PBEsol. Source: Alexandria, functional SCAN.

Structure (POSCAR):
```
NaCuAsSe2
1.0
4.9560 0.0000 0.0000
0.0000 4.9560 0.0000
0.0000 0.0000 4.8742
Na Cu As Se
1 1 1 2
direct
0.0000 0.0000 0.0000 Na
0.5000 0.5000 0.5000 Cu
0.0000 0.0000 0.5000 As
0.0000 0.5000 0.0000 Se
0.5000 0.0000 0.0000 Se
```

As for the space group: P4/mmm, No. 123.


A crystal of NbCu3As relaxed with PBEsol. Source: Alexandria, functional SCAN.

Structure (POSCAR):
```
NbCu3As
1.0
4.6545 0.0000 0.0000
0.0000 4.6545 0.0000
0.0000 0.0000 4.6545
Nb Cu As
1 3 1
direct
0.0000 0.0000 0.0000 Nb
0.0000 0.0000 0.5000 Cu
0.0000 0.5000 0.0000 Cu
0.5000 0.0000 0.0000 Cu
0.5000 0.5000 0.5000 As
```

The formation energy from the elements is 1.684 eV per atom. As for the space group: Pm-3m, No. 221.


A crystal of Cu2NiAs relaxed with PBEsol. Source: Alexandria, functional SCAN.

Structure (POSCAR):
```
Cu2NiAs
1.0
0.0000 2.8894 2.8894
2.8894 0.0000 2.8894
2.8894 2.8894 0.0000
Cu Ni As
2 1 1
direct
0.0000 0.0000 0.0000 Cu
0.2500 0.2500 0.2500 Cu
0.7500 0.7500 0.7500 Ni
0.5000 0.5000 0.5000 As
```

The formation energy from the elements is 0.000 eV per atom. As for the space group: F-43m, No. 216.


A crystal of CuNiAsSe2 relaxed with PBEsol. Source: Alexandria, functional SCAN.

Structure (POSCAR):
```
CuNiAsSe2
1.0
4.7351 0.0000 0.0000
0.0000 4.7351 0.0000
0.0000 0.0000 4.3261
Cu Ni As Se
1 1 1 2
direct
0.0000 0.0000 0.0000 Cu
0.5000 0.5000 0.5000 Ni
0.5000 0.5000 0.0000 As
0.0000 0.5000 0.5000 Se
0.5000 0.0000 0.5000 Se
```

As for the space group: P4/mmm, No. 123.


A crystal of CuNiTeAs2 relaxed with PBEsol. Source: Alexandria, functional SCAN.

Structure (POSCAR):
```
CuNiTeAs2
1.0
5.3013 0.0000 0.0000
0.0000 5.3013 0.0000
0.0000 0.0000 4.4836
Cu Ni Te As
1 1 1 2
direct
0.0000 0.0000 0.0000 Cu
0.5000 0.5000 0.0000 Ni
0.5000 0.5000 0.5000 Te
0.0000 0.5000 0.5000 As
0.5000 0.0000 0.5000 As
```

As for the space group: P4/mmm, No. 123.


A crystal of Cu3AsO7 relaxed with PBEsol. Source: Alexandria, functional SCAN.

Structure (POSCAR):
```
Cu3AsO7
1.0
5.2554 0.0000 0.0000
0.6038 5.3334 0.0000
0.6163 2.4808 4.7539
Cu As O
3 1 7
direct
0.0000 0.0000 0.0000 Cu
0.0005 0.4949 0.5024 Cu
0.5064 0.7666 0.2751 Cu
0.5014 0.4496 0.9414 As
0.1772 0.1596 0.6654 O
0.2194 0.6760 0.1795 O
0.3413 0.1636 0.1681 O
0.3411 0.6732 0.6533 O
0.6947 0.5976 0.0701 O
0.7616 0.2931 0.7941 O
0.8139 0.8394 0.3447 O
```

As for the space group: P1, No. 1.


A crystal of CuAsPbO5 relaxed with PBEsol. Source: Alexandria, functional SCAN.

Structure (POSCAR):
```
CuAsPbO5
1.0
5.9805 0.0000 0.0000
0.0000 8.2533 0.0000
0.0000 0.0000 8.7946
Cu As Pb O
4 4 4 20
direct
0.2420 0.2387 0.4932 Cu
0.2580 0.7613 0.9932 Cu
0.7420 0.2613 0.5068 Cu
0.7580 0.7387 0.0068 Cu
0.0166 0.8769 0.2917 As
0.4834 0.1231 0.7917 As
0.5166 0.6231 0.7083 As
0.9834 0.3769 0.2083 As
0.0485 0.3779 0.8362 Pb
0.4515 0.6221 0.3362 Pb
0.5485 0.1221 0.1638 Pb
0.9515 0.8779 0.6638 Pb
0.0032 0.3533 0.5646 O
0.0176 0.5508 0.1085 O
0.0692 0.7222 0.4160 O
0.2360 0.3507 0.3063 O
0.2469 0.1173 0.6749 O
0.2531 0.8827 0.1749 O
0.2640 0.6493 0.8063 O
0.4308 0.2778 0.9160 O
0.4824 0.4492 0.6085 O
0.4968 0.6467 0.0646 O
0.5032 0.1467 0.4354 O
0.5176 0.9492 0.8915 O
0.5692 0.7778 0.5840 O
0.7360 0.1493 0.6937 O
0.7469 0.3827 0.3251 O
0.7531 0.6173 0.8251 O
0.7640 0.8507 0.1937 O
0.9308 0.2222 0.0840 O
0.9824 0.0508 0.3915 O
0.9968 0.8533 0.9354 O
```

As for the space group: P2_12_12_1, No. 19.


A crystal of Cu4As3PbO12 relaxed with PBEsol. Source: Alexandria, functional SCAN.

Structure (POSCAR):
```
Cu4As3PbO12
1.0
5.2079 0.0000 0.0000
-0.5484 8.3104 0.0000
-0.0056 -0.0079 11.3731
Cu As Pb O
8 6 2 24
direct
0.0000 0.0000 0.0000 Cu
0.0000 0.5000 0.5000 Cu
0.2344 0.4675 0.0195 Cu
0.4682 0.4196 0.3208 Cu
0.4959 0.7849 0.1676 Cu
0.5041 0.2151 0.8324 Cu
0.5318 0.5804 0.6792 Cu
0.7656 0.5325 0.9805 Cu
0.0052 0.3943 0.7640 As
0.4679 0.7754 0.4473 As
0.4678 0.8337 0.8905 As
0.5322 0.1663 0.1095 As
0.5321 0.2246 0.5527 As
0.9948 0.6057 0.2360 As
0.9997 0.0526 0.3295 Pb
0.0003 0.9474 0.6705 Pb
0.1452 0.7956 0.2342 O
0.1749 0.4728 0.6436 O
0.2055 0.1195 0.1171 O
0.2084 0.4694 0.1858 O
0.2333 0.8996 0.4845 O
0.2498 0.3868 0.8668 O
0.3007 0.0078 0.8981 O
0.3078 0.5873 0.4119 O
0.3217 0.2561 0.4408 O
0.3656 0.1577 0.6765 O
0.3655 0.7459 0.7617 O
0.3723 0.7136 0.0097 O
0.6277 0.2864 0.9903 O
0.6345 0.2541 0.2383 O
0.6344 0.8423 0.3235 O
0.6783 0.7439 0.5592 O
0.6922 0.4127 0.5881 O
0.6993 0.9922 0.1019 O
0.7502 0.6132 0.1332 O
0.7667 0.1004 0.5155 O
0.7916 0.5306 0.8142 O
0.7945 0.8805 0.8829 O
0.8251 0.5272 0.3564 O
0.8548 0.2044 0.7658 O
```

As for the space group: P-1, No. 2.


A crystal of CuSbAs2O relaxed with PBEsol. Source: Alexandria, functional SCAN.

Structure (POSCAR):
```
CuSbAs2O
1.0
5.2502 0.0000 0.0000
0.0000 5.2502 0.0000
0.0000 0.0000 3.8213
Cu Sb As O
1 1 2 1
direct
0.0000 0.0000 0.0000 Cu
0.5000 0.5000 0.5000 Sb
0.0000 0.5000 0.5000 As
0.5000 0.0000 0.5000 As
0.5000 0.5000 0.0000 O
```

As for the space group: P4/mmm, No. 123.


A crystal of Sm2CuAs3O relaxed with PBEsol. Source: Alexandria, functional SCAN.

Structure (POSCAR):
```
Sm2CuAs3O
1.0
34.1964 0.0000 0.0000
0.0000 3.9394 0.0000
0.0000 0.0000 3.9352
Sm Cu As O
8 4 12 4
direct
0.0336 0.2500 0.2499 Sm
0.1760 0.7500 0.7074 Sm
0.3240 0.2500 0.2074 Sm
0.4664 0.7500 0.7499 Sm
0.5336 0.2500 0.2501 Sm
0.6760 0.7500 0.7926 Sm
0.8240 0.2500 0.2926 Sm
0.9664 0.7500 0.7501 Sm
0.2500 0.2500 0.7070 Cu
0.2500 0.7500 0.2070 Cu
0.7500 0.2500 0.7930 Cu
0.7500 0.7500 0.2930 Cu
0.1066 0.2500 0.7554 As
0.1072 0.7500 0.1912 As
0.2058 0.2500 0.2070 As
0.2942 0.7500 0.7070 As
0.3928 0.2500 0.6912 As
0.3934 0.7500 0.2554 As
0.6066 0.2500 0.7446 As
0.6072 0.7500 0.3088 As
0.7058 0.2500 0.2930 As
0.7942 0.7500 0.7930 As
0.8928 0.2500 0.8088 As
0.8934 0.7500 0.2446 As
0.9999 0.2500 0.7495 O
0.0001 0.7500 0.2505 O
0.4999 0.2500 0.7505 O
0.5001 0.7500 0.2495 O
```

As for the space group: Pnma, No. 62.


| no. | E (eV per cell) |
| --- | --- |
| 1 | -104.236 |
| 2 | -104.077 |
| 3 | -84.297 |
| 4 | -132.708 |
| 5 | -56.344 |
| 6 | -58.704 |
| 7 | -67.971 |
| 8 | -176.800 |
| 9 | -120.178 |
| 10 | -449.741 |
| 11 | -74.108 |
| 12 | -90.500 |
| 13 | -66.764 |
| 14 | -88.649 |
| 15 | -102.313 |
| 16 | -117.434 |
| 17 | -604.817 |
| 18 | -589.517 |
| 19 | -95.965 |
| 20 | -729.047 |